## AlCrBi2O (PBE with a Hubbard U)

Data for a relaxed AlCrBi2O crystal.

abc: 5.123 4.804 5.123
angles: 90.00 90.00 90.00
Each line ends with the local moment (μB).
Positions (direct):
Bi: 0.500 0.000 0.000  -0.34
Bi: 0.000 0.000 0.500  -0.16
O: 0.500 0.500 0.500  -0.73
Al: 0.000 0.500 0.000  -0.05
Cr: 0.000 0.000 0.000  2.56

Values from the calculation:
E: -19.52 eV/cell